[1]
VASP calculation (GGA-PBE) on CdPRuS2 after structural relaxation.

Unit cell a=4.6674 b=4.4650 c=4.6674 alpha=90.00 beta=90.00 gamma=90.00
Last column: nearest neighbours and their distance in Å.
Element x y z (fractional)
Ru 0.0000 0.5000 0.0000  2 P 2.23
S 0.0000 0.0000 0.5000  2 P 2.33
S 0.5000 0.0000 0.0000  2 P 2.33
P 0.0000 0.0000 0.0000  2 Ru 2.23, 4 S 2.33
Cd 0.5000 0.5000 0.5000  8 S 3.23, 4 Ru 3.30

## Properties
Energy above the most stable polymorph in this dataset: 256 meV/atom
E_form (uncorrected): 634.4 meV per atom
Size of the total moment: 1.04 μB/cell
Electronic total energy: -4.14 eV/atom

---

[2]
VASP calculation (GGA-PBE) on CsBe2PdF8 after structural relaxation.

Unit cell a=5.3774 b=5.3774 c=8.6260 alpha=71.84 beta=71.84 gamma=60.00
Last column: nearest neighbours and their distance in Å.
Element x y z (fractional)
Cs 0.0000 0.0000 0.0000  6 F 3.19
Be 0.7594 0.7594 0.7219  4 F 1.49-1.58
Be 0.2406 0.2406 0.2781  4 F 1.49-1.58
Pd 0.5000 0.5000 0.5000  6 F 2.05
F 0.6976 0.6976 0.9072  1 Be 1.49
F 0.3024 0.3024 0.0928  1 Be 1.49
F 0.3804 0.3802 0.3417  1 Be 1.58
F 0.6198 0.6196 0.6583  1 Be 1.58
F 0.1023 0.6198 0.6583  1 Be 1.58
F 0.3802 0.8977 0.3417  1 Be 1.58
F 0.8977 0.3804 0.3417  1 Be 1.58
F 0.6196 0.1023 0.6583  1 Be 1.58

## Properties
E_form (uncorrected): -2471.1 meV per atom
Size of the total moment: 1.00 μB/cell
Electronic total energy: -4.84 eV/atom

---

[3]
VASP calculation (GGA-PBE) on TmSbO after structural relaxation.

Unit cell a=3.7399 b=3.7399 c=10.1776 alpha=90.00 beta=90.00 gamma=120.00
Last column: nearest neighbours and their distance in Å.
Element x y z (fractional)
Tm 0.6667 0.3333 0.1405  4 O 2.24-2.28
Tm 0.3333 0.6667 0.8595  4 O 2.24-2.28
Sb 0.6667 0.3333 0.6021  3 Sb 3.00, 1 O 3.20
Sb 0.3333 0.6667 0.3979  3 Sb 3.00, 1 O 3.20
O 0.6667 0.3333 0.9166  4 Tm 2.24-2.28
O 0.3333 0.6667 0.0834  4 Tm 2.24-2.28

## Properties
E_form (uncorrected): -1977.9 meV per atom
Size of the total moment: 0.00 μB/cell
Electronic total energy: -6.50 eV/atom